No. 1
The following is a GGA-PBE calculation of Na4Sc3TiSe8 after structural relaxation, from Alexandria.

```
Na4Sc3TiSe8
1.0
3.899 2.251 6.973
-3.899 2.251 6.973
0.000 -4.503 6.973
Na Sc Ti Se
4 3 1 8
Cartesian
0.000 0.000 0.000 Na
-1.950 -1.126 6.973 Na
-1.950 1.126 13.946 Na
0.000 2.251 6.973 Na
-3.899 0.000 10.460 Sc
-1.950 1.126 3.487 Sc
1.950 1.126 3.487 Sc
0.000 0.000 10.460 Ti
0.000 0.000 5.018 Se
-1.907 -1.101 11.967 Se
0.000 -2.202 8.953 Se
-1.907 1.101 8.953 Se
1.907 -1.101 11.967 Se
0.000 2.202 11.967 Se
1.907 1.101 8.953 Se
0.000 0.000 15.901 Se
```

Calculated values
Its space group is R-3m. The value obtained for the total magnetic moment is 1.0 μB per formula unit. For the formation energy from raw total energies, the calculation gives -1469 meV/atom. As for the density of states at the Fermi level: 0.309 states/eV per atom.

=====

No. 2
The following is a GGA-PBE calculation of Na2TmSc3Se6 after structural relaxation, from Alexandria.

```
Na2TmSc3Se6
1.0
3.421 -5.918 0.000
3.421 5.918 0.000
-2.277 0.000 6.635
Na Tm Sc Se
2 1 3 6
Cartesian
3.421 3.952 0.000 Na
3.421 -3.952 0.000 Na
3.421 0.000 0.000 Tm
-1.139 0.000 3.317 Sc
2.282 1.995 3.317 Sc
2.282 -1.995 3.317 Sc
0.022 1.940 4.878 Se
1.184 0.000 1.767 Se
0.022 -1.940 4.878 Se
4.542 1.940 1.757 Se
3.379 0.000 4.868 Se
4.542 -1.940 1.757 Se
```

Calculated values
Its space group is C2/m. The value obtained for the total magnetic moment is 0.0 μB per formula unit. For the formation energy from raw total energies, the calculation gives -1612 meV/atom. As for the density of states at the Fermi level: 0.358 states/eV per atom.